Entry from Alexandria: an optimized crystal structure of PaBeOs (PBE-GGA).

Formation energy (meV/atom): 226

Unit cell a=3.762 b=3.762 c=8.176 alpha=90.00 beta=90.00 gamma=90.00
Space group I4mm (No. 107)
Symmetry-distinct sites (fractional):
Pa 0.000 0.000 0.000 (multiplicity 2)
Be 0.000 0.000 0.330 (multiplicity 2)
Os 0.000 0.000 0.599 (multiplicity 2)

Entry from Alexandria: an optimized crystal structure of PaBe4Os (PBE-GGA).

Formation energy (meV/atom): 29

Unit cell a=6.718 b=6.718 c=6.718 alpha=90.00 beta=90.00 gamma=90.00
Space group F-43m (No. 216)
Symmetry-distinct sites (fractional):
Pa 0.000 0.000 0.000 (multiplicity 4)
Be 0.122 0.122 0.622 (multiplicity 16)
Os 0.250 0.250 0.250 (multiplicity 4)

Entry from Alexandria: an optimized crystal structure of PaBeOs3 (PBE-GGA).

Formation energy (meV/atom): -139

Unit cell a=4.257 b=4.257 c=4.257 alpha=90.00 beta=90.00 gamma=90.00
Space group Pm-3m (No. 221)
Symmetry-distinct sites (fractional):
Pa 0.000 0.000 0.000 (multiplicity 1)
Be 0.500 0.500 0.500 (multiplicity 1)
Os 0.000 0.500 0.500 (multiplicity 3)

Entry from Alexandria: an optimized crystal structure of Pa2BeOs3 (PBE-GGA).

Formation energy (meV/atom): -325

Unit cell a=5.5717 b=5.5717 c=7.6159 alpha=90.00 beta=90.00 gamma=120.00
Space group P6_3/mmc (No. 194)
Symmetry-distinct sites (fractional):
Pa 0.3333 0.6667 0.0619 (multiplicity 4)
Be 0.0000 0.0000 0.0000 (multiplicity 2)
Os 0.1639 0.3279 0.7500 (multiplicity 6)

Entry from Alexandria: an optimized crystal structure of Pa2BeOs (PBE-GGA).

Formation energy (meV/atom): 668

Unit cell a=3.0093 b=3.0093 c=31.6249 alpha=90.00 beta=90.00 gamma=120.00
Space group R-3m (No. 166, hexagonal axes)
Symmetry-distinct sites (fractional):
Pa 0.0000 0.0000 0.0918 (multiplicity 6)
Be 0.0000 0.0000 0.0000 (multiplicity 3)
Os 0.0000 0.0000 0.5000 (multiplicity 3)

Entry from Alexandria: an optimized crystal structure of PaBeOs (PBE-GGA).

Formation energy (meV/atom): -219

Unit cell a=4.0591 b=4.0591 c=3.6587 alpha=90.00 beta=90.00 gamma=120.00
Space group P-6m2 (No. 187)
Symmetry-distinct sites (fractional):
Pa 0.0000 0.0000 0.0000 (multiplicity 1)
Be 0.3333 0.6667 0.5000 (multiplicity 1)
Os 0.6667 0.3333 0.5000 (multiplicity 1)

Entry from Alexandria: an optimized crystal structure of Pa2Be16Os (PBE-GGA).

Formation energy (meV/atom): -121

Unit cell a=7.9016 b=7.9016 c=11.3368 alpha=90.00 beta=90.00 gamma=120.00
Space group R3m (No. 160, hexagonal axes)
Symmetry-distinct sites (fractional):
Pa 0.0000 0.0000 0.0000 (multiplicity 3)
Pa 0.0000 0.0000 0.3100 (multiplicity 3)
Be 0.0000 0.0000 0.5563 (multiplicity 3)
Be 0.9997 0.2740 0.6616 (multiplicity 18)
Be 0.0032 0.5016 0.1591 (multiplicity 9)
Be 0.0036 0.5018 0.4994 (multiplicity 9)
Be 0.1703 0.3405 0.1509 (multiplicity 9)
Os 0.0000 0.0000 0.7639 (multiplicity 3)

Entry from Alexandria: an optimized crystal structure of Pa4Be6Os7 (PBE-GGA).

Formation energy (meV/atom): -274

Unit cell a=8.052 b=8.052 c=8.052 alpha=90.00 beta=90.00 gamma=90.00
Space group Im-3m (No. 229)
Symmetry-distinct sites (fractional):
Pa 0.250 0.250 0.250 (multiplicity 8)
Be 0.000 0.000 0.321 (multiplicity 12)
Os 0.000 0.000 0.000 (multiplicity 2)
Os 0.000 0.250 0.500 (multiplicity 12)